[1]
A plane-wave DFT calculation with PBE-GGA was carried out for crystalline BaMn2Fe at its relaxed geometry.

The calculation puts the energy above the most stable polymorph in this dataset at 2.24 eV/f.u.

It has space group Pmmm (No. 47), with a = 4.226 Å, b = 4.269 Å, c = 4.365 Å, α = 90.00°, β = 90.00° and γ = 90.00°. The inequivalent atoms are Ba at (0.000, 0.000, 0.000), Mn at (0.000, 0.500, 0.500), Mn at (0.500, 0.000, 0.500) and Fe at (0.500, 0.500, 0.000).

[2]
A plane-wave DFT calculation with PBE-GGA was carried out for crystalline Ba2Mn2Fe at its relaxed geometry.

The calculation puts the energy above the most stable polymorph in this dataset at 0.00 eV/f.u.

It has space group I4/mmm (No. 139), with a = 3.301 Å, b = 3.301 Å, c = 21.261 Å, α = 90.00°, β = 90.00° and γ = 90.00°. The inequivalent atoms are Ba at (0.000, 0.000, 0.112), Mn at (0.000, 0.500, 0.250) and Fe at (0.000, 0.000, 0.500).

[3]
A plane-wave DFT calculation with PBE-GGA was carried out for crystalline BaMn2Fe at its relaxed geometry.

The calculation puts the energy above the most stable polymorph in this dataset at 0.46 eV/f.u.

It has space group C2/m (No. 12), with a = 6.858 Å, b = 3.962 Å, c = 6.329 Å, α = 90.00°, β = 111.08° and γ = 90.00°. The inequivalent atoms are Ba at (0.000, 0.000, 0.000), Mn at (0.188, 0.000, 0.565) and Fe at (0.000, 0.500, 0.500).

[4]
A plane-wave DFT calculation with PBE-GGA was carried out for crystalline BaMnFe2 at its relaxed geometry.

As for the total energy: -5.947 eV per atom.

It has space group P4/mmm (No. 123), with a = 4.547 Å, b = 4.547 Å, c = 3.576 Å, α = 90.00°, β = 90.00° and γ = 90.00°. The inequivalent atoms are Ba at (0.000, 0.000, 0.000), Mn at (0.500, 0.500, 0.000) and Fe at (0.000, 0.500, 0.500).

[5]
A plane-wave DFT calculation with PBE-GGA was carried out for crystalline BaMnFe2 at its relaxed geometry.

As for the total energy: -5.911 eV per atom.

It has space group F-43m (No. 216), with a = 6.690 Å, b = 6.690 Å, c = 6.690 Å, α = 90.00°, β = 90.00° and γ = 90.00°. The inequivalent atoms are Ba at (0.000, 0.000, 0.000), Mn at (0.250, 0.250, 0.250), Fe at (0.000, 0.000, 0.500) and Fe at (0.250, 0.250, 0.750).

[6]
A plane-wave DFT calculation with PBE-GGA was carried out for crystalline BaMnFe3 at its relaxed geometry.

The calculation puts the energy above the most stable polymorph in this dataset at 0.00 eV/f.u.

It has space group Pm-3m (No. 221), with a = 4.576 Å, b = 4.576 Å, c = 4.576 Å, α = 90.00°, β = 90.00° and γ = 90.00°. The inequivalent atoms are Ba at (0.000, 0.000, 0.000), Mn at (0.500, 0.500, 0.500) and Fe at (0.000, 0.500, 0.500).

[7]
A plane-wave DFT calculation with PBE-GGA was carried out for crystalline BaMnFe2 at its relaxed geometry.

As for the total energy: -6.093 eV per atom.

It has space group I4_1/amd (No. 141, origin choice 2), with a = 4.930 Å, b = 4.930 Å, c = 14.797 Å, α = 90.00°, β = 90.00° and γ = 90.00°. The inequivalent atoms are Ba at (0.000, 0.250, 0.375), Mn at (0.000, 0.250, 0.875) and Fe at (0.000, 0.000, 0.000).

[8]
A plane-wave DFT calculation with PBE-GGA was carried out for crystalline Ba2MnFe at its relaxed geometry.

The calculation puts the energy above the most stable polymorph in this dataset at 2.30 eV/f.u.

It has space group R-3m (No. 166, hexagonal axes), with a = 4.0408 Å, b = 4.0408 Å, c = 29.0429 Å, α = 90.00°, β = 90.00° and γ = 120.00°. The inequivalent atoms are Ba at (0.0000, 0.0000, 0.2460), Mn at (0.0000, 0.0000, 0.0000) and Fe at (0.0000, 0.0000, 0.5000).

[9]
A plane-wave DFT calculation with PBE-GGA was carried out for crystalline BaMn2Fe at its relaxed geometry.

The calculation puts the energy above the most stable polymorph in this dataset at 1.58 eV/f.u.

It has space group I4_1/amd (No. 141, origin choice 2), with a = 5.170 Å, b = 5.170 Å, c = 15.145 Å, α = 90.00°, β = 90.00° and γ = 90.00°. The inequivalent atoms are Ba at (0.000, 0.250, 0.375), Mn at (0.000, 0.000, 0.000) and Fe at (0.000, 0.250, 0.875).

[10]
A plane-wave DFT calculation with PBE-GGA was carried out for crystalline BaMnFe2 at its relaxed geometry.

As for the total energy: -6.276 eV per atom.

It has space group P2/m (No. 10), with a = 3.111 Å, b = 4.324 Å, c = 6.493 Å, α = 90.00°, β = 100.71° and γ = 90.00°. The inequivalent atoms are Ba at (0.000, 0.000, 0.000), Mn at (0.500, 0.000, 0.500) and Fe at (0.285, 0.500, 0.639).

[11]
A plane-wave DFT calculation with PBE-GGA was carried out for crystalline Ba2MnFe at its relaxed geometry.

The calculation puts the energy above the most stable polymorph in this dataset at 1.75 eV/f.u.

It has space group I-4m2 (No. 119), with a = 4.887 Å, b = 4.887 Å, c = 10.068 Å, α = 90.00°, β = 90.00° and γ = 90.00°. The inequivalent atoms are Ba at (0.000, 0.000, 0.000), Ba at (0.000, 0.500, 0.250), Mn at (0.000, 0.000, 0.500) and Fe at (0.000, 0.500, 0.750).

[12]
A plane-wave DFT calculation with PBE-GGA was carried out for crystalline BaMnFe2 at its relaxed geometry.

As for the total energy: -6.380 eV per atom.

It has space group P4mm (No. 99), with a = 3.203 Å, b = 3.203 Å, c = 7.730 Å, α = 90.00°, β = 90.00° and γ = 90.00°. The inequivalent atoms are Ba at (0.000, 0.000, 0.000), Mn at (0.500, 0.500, 0.650), Fe at (0.000, 0.000, 0.459) and Fe at (0.500, 0.500, 0.325).

[13]
A plane-wave DFT calculation with PBE-GGA was carried out for crystalline Ba2MnFe at its relaxed geometry.

The calculation puts the energy above the most stable polymorph in this dataset at 0.80 eV/f.u.

It has space group Imm2 (No. 44), with a = 4.116 Å, b = 6.046 Å, c = 9.463 Å, α = 90.00°, β = 90.00° and γ = 90.00°. The inequivalent atoms are Ba at (0.000, 0.000, 0.000), Ba at (0.000, 0.500, 0.168), Mn at (0.000, 0.500, 0.799) and Fe at (0.000, 0.000, 0.372).

[14]
A plane-wave DFT calculation with PBE-GGA was carried out for crystalline BaMn2Fe at its relaxed geometry.

The calculation puts the energy above the most stable polymorph in this dataset at 2.39 eV/f.u.

It has space group F-43m (No. 216), with a = 7.006 Å, b = 7.006 Å, c = 7.006 Å, α = 90.00°, β = 90.00° and γ = 90.00°. The inequivalent atoms are Ba at (0.000, 0.000, 0.000), Mn at (0.000, 0.000, 0.500), Mn at (0.250, 0.250, 0.750) and Fe at (0.250, 0.250, 0.250).

[15]
A plane-wave DFT calculation with PBE-GGA was carried out for crystalline Ba2MnFe at its relaxed geometry.

The calculation puts the energy above the most stable polymorph in this dataset at 0.00 eV/f.u.

It has space group Cm (No. 8), with a = 7.136 Å, b = 4.118 Å, c = 9.443 Å, α = 90.00°, β = 104.18° and γ = 90.00°. The inequivalent atoms are Ba at (0.000, 0.000, 0.000), Ba at (0.171, 0.000, 0.528), Mn at (0.252, 0.500, 0.265) and Fe at (0.419, 0.000, 0.264).

[16]
A plane-wave DFT calculation with PBE-GGA was carried out for crystalline BaMnFe at its relaxed geometry.

The calculation puts the energy above the most stable polymorph in this dataset at 1.27 eV/f.u.

It has space group F-43m (No. 216), with a = 6.870 Å, b = 6.870 Å, c = 6.870 Å, α = 90.00°, β = 90.00° and γ = 90.00°. The inequivalent atoms are Ba at (0.000, 0.000, 0.000), Mn at (0.000, 0.000, 0.500) and Fe at (0.250, 0.250, 0.750).

[17]
A plane-wave DFT calculation with PBE-GGA was carried out for crystalline BaMn3Fe at its relaxed geometry.

The calculation puts the energy above the most stable polymorph in this dataset at 0.00 eV/f.u.

It has space group Pm-3m (No. 221), with a = 4.738 Å, b = 4.738 Å, c = 4.738 Å, α = 90.00°, β = 90.00° and γ = 90.00°. The inequivalent atoms are Ba at (0.000, 0.000, 0.000), Mn at (0.000, 0.500, 0.500) and Fe at (0.500, 0.500, 0.500).

[18]
A plane-wave DFT calculation with PBE-GGA was carried out for crystalline BaMnFe3 at its relaxed geometry.

The calculation puts the energy above the most stable polymorph in this dataset at 9.71 eV/f.u.

It has space group Pm-3m (No. 221), with a = 4.831 Å, b = 4.831 Å, c = 4.831 Å, α = 90.00°, β = 90.00° and γ = 90.00°. The inequivalent atoms are Ba at (0.000, 0.000, 0.000), Mn at (0.500, 0.500, 0.500) and Fe at (0.000, 0.000, 0.500).

[19]
A plane-wave DFT calculation with PBE-GGA was carried out for crystalline Ba2MnFe at its relaxed geometry.

The calculation puts the energy above the most stable polymorph in this dataset at 1.34 eV/f.u.

It has space group P4/mmm (No. 123), with a = 3.982 Å, b = 3.982 Å, c = 7.867 Å, α = 90.00°, β = 90.00° and γ = 90.00°. The inequivalent atoms are Ba at (0.000, 0.000, 0.241), Mn at (0.500, 0.500, 0.500) and Fe at (0.500, 0.500, 0.000).

[20]
A plane-wave DFT calculation with PBE-GGA was carried out for crystalline BaMnFe2 at its relaxed geometry.

As for the total energy: -6.538 eV per atom.

It has space group R-3m (No. 166, hexagonal axes), with a = 4.1157 Å, b = 4.1157 Å, c = 17.5662 Å, α = 90.00°, β = 90.00° and γ = 120.00°. The inequivalent atoms are Ba at (0.0000, 0.0000, 0.0000), Mn at (0.0000, 0.0000, 0.5000) and Fe at (0.0000, 0.0000, 0.1888).